Computed, not measured: crystalline In2NiAs at its relaxed geometry at the PBE level of DFT. Values from VASP.

The structure in Quantum ESPRESSO input format:
```
&SYSTEM
  ibrav = 0, nat = 4, ntyp = 3
/
ATOMIC_SPECIES
As 74.92 As.upf
In 114.82 In.upf
Ni 58.69 Ni.upf
CELL_PARAMETERS angstrom
3.133 0.000 0.000
0.000 3.003 -0.344
0.000 0.942 8.251
ATOMIC_POSITIONS angstrom
As 1.567 2.958 5.930
In 0.000 2.300 0.167
In 0.000 2.675 3.443
Ni 1.567 0.986 1.977
```

The value obtained for the calculated volume is 19.66 Å³/atom. For the density of states at the Fermi level, the calculation gives 1.57 states/eV per cell. The space group is Pmmm (47). For the formation energy, the calculation gives 0.04 eV/atom.

Computed, not measured: crystalline PaI4 at its relaxed geometry at the PBE level of DFT. Values from VASP.

The structure in Quantum ESPRESSO input format:
```
&SYSTEM
  ibrav = 0, nat = 10, ntyp = 2
/
ATOMIC_SPECIES
Pa 231.04 Pa.upf
I 126.90 I.upf
CELL_PARAMETERS angstrom
6.423 0.000 -3.166
0.000 7.586 0.000
1.517 0.000 11.175
ATOMIC_POSITIONS angstrom
Pa 1.831 5.689 3.714
Pa 6.109 1.896 4.295
I 3.555 3.195 2.980
I 5.858 4.428 -0.499
I 4.384 6.988 5.030
I 5.480 3.158 6.833
I 1.319 4.391 6.541
I 6.620 0.598 1.469
I 2.082 0.635 8.509
I 2.459 6.951 1.176
```

The value obtained for the calculated volume is 58.09 Å³/atom. For the density of states at the Fermi level, the calculation gives 12.59 states/eV per cell. The total energy comes out at -4.01 eV per atom. The space group is C222_1 (20).

Computed, not measured: crystalline PmSb2Pt at its relaxed geometry at the PBE level of DFT. Values from VASP.

The structure in Quantum ESPRESSO input format:
```
&SYSTEM
  ibrav = 0, nat = 4, ntyp = 3
/
ATOMIC_SPECIES
Sb 121.76 Sb.upf
Pt 195.08 Pt.upf
Pm 145.00 Pm.upf
CELL_PARAMETERS angstrom
-0.294 0.048 4.151
-2.747 -3.863 -0.149
3.852 -2.751 0.305
ATOMIC_POSITIONS angstrom
Sb 1.926 -1.375 0.152
Sb -1.374 -1.932 -0.075
Pt -0.147 0.024 2.075
Pm 0.405 -3.283 2.153
```

The value obtained for the calculated volume is 23.40 Å³/atom. For the density of states at the Fermi level, the calculation gives 1.86 states/eV per cell. The total energy comes out at -5.37 eV per atom. The space group is P4/mmm (123).

Computed, not measured: crystalline YFeSiRh2 at its relaxed geometry at the PBE level of DFT. Values from VASP.

The structure in Quantum ESPRESSO input format:
```
&SYSTEM
  ibrav = 0, nat = 5, ntyp = 4
/
ATOMIC_SPECIES
Y 88.91 Y.upf
Si 28.09 Si.upf
Rh 102.91 Rh.upf
Fe 55.84 Fe.upf
CELL_PARAMETERS angstrom
-2.118 -1.817 3.925
-4.187 -1.190 -2.810
1.887 -4.320 -0.982
ATOMIC_POSITIONS angstrom
Y 0.000 0.000 0.000
Si -2.094 -0.595 -1.405
Rh 0.943 -2.160 -0.491
Rh -1.059 -0.908 1.962
Fe -2.209 -3.664 0.067
```

The value obtained for the calculated volume is 24.03 Å³/atom. For the density of states at the Fermi level, the calculation gives 9.30 states/eV per cell. The total energy comes out at -5.15 eV per atom. The space group is P4/mmm (123).

Computed, not measured: crystalline Pm5SmAl6 at its relaxed geometry at the PBE level of DFT. Values from VASP.

The structure in Quantum ESPRESSO input format:
```
&SYSTEM
  ibrav = 0, nat = 12, ntyp = 3
/
ATOMIC_SPECIES
Al 26.98 Al.upf
Sm 150.36 Sm.upf
Pm 145.00 Pm.upf
CELL_PARAMETERS angstrom
5.012 0.020 -1.466
-1.016 6.508 -3.389
-0.090 0.478 9.040
ATOMIC_POSITIONS angstrom
Al 3.525 4.140 2.831
Al 4.035 0.875 4.531
Al 1.653 5.380 5.759
Al 2.254 1.625 -1.574
Al -0.129 6.130 -0.346
Al 0.381 2.865 1.354
Sm 0.000 0.000 0.000
Pm 3.144 1.261 1.478
Pm 1.273 2.496 4.411
Pm -0.508 3.254 -1.694
Pm 2.633 4.509 -0.227
Pm 0.763 5.744 2.707
```

The value obtained for the calculated volume is 25.25 Å³/atom. For the density of states at the Fermi level, the calculation gives 3.94 states/eV per cell. The space group is C2/m (12). For the formation energy, the calculation gives -0.37 eV/atom.

Computed, not measured: crystalline La3Al8Pd3 at its relaxed geometry at the PBE level of DFT. Values from VASP.

The structure in Quantum ESPRESSO input format:
```
&SYSTEM
  ibrav = 0, nat = 14, ntyp = 3
/
ATOMIC_SPECIES
La 138.91 La.upf
Al 26.98 Al.upf
Pd 106.42 Pd.upf
CELL_PARAMETERS angstrom
4.453 0.000 0.000
2.226 8.101 -0.240
2.226 1.975 7.860
ATOMIC_POSITIONS angstrom
La 4.453 5.038 3.810
La 4.453 1.872 1.416
La 4.453 8.204 6.205
Al 4.453 2.101 5.179
Al 4.453 7.974 2.442
Al 4.453 5.555 0.612
Al 4.453 4.520 7.008
Al 6.679 7.564 3.964
Al 2.226 2.511 3.656
Al 6.679 5.874 6.199
Al 2.226 4.202 1.421
Pd 2.226 0.000 0.000
Pd 2.226 6.763 1.529
Pd 2.226 3.313 6.091
```

The value obtained for the calculated volume is 20.40 Å³/atom. For the density of states at the Fermi level, the calculation gives 5.91 states/eV per cell. The space group is Immm (71). For the formation energy, the calculation gives -0.67 eV/atom.

Computed, not measured: crystalline FeSnAsBr2 at its relaxed geometry at the PBE level of DFT. Values from VASP.

The structure in Quantum ESPRESSO input format:
```
&SYSTEM
  ibrav = 0, nat = 5, ntyp = 4
/
ATOMIC_SPECIES
As 74.92 As.upf
Sn 118.71 Sn.upf
Br 79.90 Br.upf
Fe 55.84 Fe.upf
CELL_PARAMETERS angstrom
-3.462 1.711 3.230
-1.704 -4.691 0.659
3.147 -0.623 3.704
ATOMIC_POSITIONS angstrom
As 1.574 -0.311 1.852
Sn -1.009 -1.801 3.796
Br -0.852 -2.345 0.330
Br -1.731 0.856 1.615
Fe 0.000 0.000 0.000
```

The value obtained for the calculated volume is 24.84 Å³/atom. For the density of states at the Fermi level, the calculation gives 5.25 states/eV per cell. The total energy comes out at -3.93 eV per atom. The space group is P4/mmm (123).

Computed, not measured: crystalline SmTcP at its relaxed geometry at the PBE level of DFT. Values from VASP.

The structure in Quantum ESPRESSO input format:
```
&SYSTEM
  ibrav = 0, nat = 3, ntyp = 3
/
ATOMIC_SPECIES
P 30.97 P.upf
Tc 98.00 Tc.upf
Sm 150.36 Sm.upf
CELL_PARAMETERS angstrom
-4.049 -0.233 -1.362
1.126 -2.582 -2.906
-1.137 -1.401 3.623
ATOMIC_POSITIONS angstrom
P -0.675 -0.039 -0.227
Tc -1.059 -1.834 1.219
Sm -2.327 -2.344 -1.637
```

The value obtained for the calculated volume is 20.23 Å³/atom. For the density of states at the Fermi level, the calculation gives 3.47 states/eV per cell. The space group is P-6m2 (187). For the formation energy, the calculation gives -0.64 eV/atom.

Computed, not measured: crystalline MgAlFe4 at its relaxed geometry at the PBE level of DFT. Values from VASP.

The structure in Quantum ESPRESSO input format:
```
&SYSTEM
  ibrav = 0, nat = 6, ntyp = 3
/
ATOMIC_SPECIES
Mg 24.30 Mg.upf
Al 26.98 Al.upf
Fe 55.84 Fe.upf
CELL_PARAMETERS angstrom
2.245 -3.878 -1.680
2.405 -2.857 2.993
-1.682 -4.364 1.011
ATOMIC_POSITIONS angstrom
Mg 2.226 -8.324 1.743
Al 0.000 0.000 0.000
Fe 2.237 -6.102 0.030
Fe 0.270 -6.346 1.377
Fe 2.317 -5.591 2.370
Fe 1.112 -4.160 0.871
```

The value obtained for the calculated volume is 12.91 Å³/atom. For the density of states at the Fermi level, the calculation gives 6.05 states/eV per cell. The space group is F-43m (216). For the formation energy, the calculation gives 0.00 eV/atom.

Computed, not measured: crystalline ZrPbBr at its relaxed geometry at the PBE level of DFT. Values from VASP.

The structure in Quantum ESPRESSO input format:
```
&SYSTEM
  ibrav = 0, nat = 3, ntyp = 3
/
ATOMIC_SPECIES
Pb 207.20 Pb.upf
Br 79.90 Br.upf
Zr 91.22 Zr.upf
CELL_PARAMETERS angstrom
8.911 -0.031 0.021
8.001 3.220 -0.060
0.910 -1.212 3.017
ATOMIC_POSITIONS angstrom
Pb 5.870 0.152 2.070
Br 1.448 -1.064 2.914
Zr 11.413 1.677 1.011
```

The value obtained for the calculated volume is 28.80 Å³/atom. For the density of states at the Fermi level, the calculation gives 2.51 states/eV per cell. The total energy comes out at -5.02 eV per atom. The space group is Fmm2 (42).

Computed, not measured: crystalline LaPmNdTl at its relaxed geometry at the PBE level of DFT. Values from VASP.

The structure in Quantum ESPRESSO input format:
```
&SYSTEM
  ibrav = 0, nat = 4, ntyp = 4
/
ATOMIC_SPECIES
La 138.91 La.upf
Pm 145.00 Pm.upf
Nd 144.24 Nd.upf
Tl 204.38 Tl.upf
CELL_PARAMETERS angstrom
4.924 0.000 0.000
0.000 4.924 0.000
-2.462 -2.462 5.191
ATOMIC_POSITIONS angstrom
La 0.000 2.462 2.596
Pm 0.000 0.000 0.000
Nd 2.462 2.462 0.000
Tl 2.462 0.000 2.596
```

The value obtained for the calculated volume is 31.46 Å³/atom. For the density of states at the Fermi level, the calculation gives 5.68 states/eV per cell. The space group is I-4m2 (119). For the formation energy, the calculation gives -0.18 eV/atom.

Computed, not measured: crystalline SmBe3Ni2 at its relaxed geometry at the PBE level of DFT. Values from VASP.

The structure in Quantum ESPRESSO input format:
```
&SYSTEM
  ibrav = 0, nat = 12, ntyp = 3
/
ATOMIC_SPECIES
Sm 150.36 Sm.upf
Be 9.01 Be.upf
Ni 58.69 Ni.upf
CELL_PARAMETERS angstrom
4.972 0.000 0.000
0.000 5.503 -1.351
0.000 -0.218 5.662
ATOMIC_POSITIONS angstrom
Sm 1.243 1.739 1.419
Sm 3.729 3.547 2.893
Be 3.729 2.554 -0.134
Be 3.729 0.382 2.529
Be 1.243 2.732 4.446
Be 3.729 0.445 0.363
Be 1.243 4.841 3.949
Be 1.243 4.904 1.783
Ni 2.486 4.370 0.038
Ni 0.000 4.370 0.038
Ni 0.000 0.915 4.274
Ni 2.486 0.915 4.274
```

The value obtained for the calculated volume is 12.79 Å³/atom. For the density of states at the Fermi level, the calculation gives 5.69 states/eV per cell. The space group is Cmcm (63). For the formation energy, the calculation gives -0.31 eV/atom.

Computed, not measured: crystalline KBa2Mn at its relaxed geometry at the PBE level of DFT. Values from VASP.

The structure in Quantum ESPRESSO input format:
```
&SYSTEM
  ibrav = 0, nat = 4, ntyp = 3
/
ATOMIC_SPECIES
K 39.10 K.upf
Mn 54.94 Mn.upf
Ba 137.33 Ba.upf
CELL_PARAMETERS angstrom
-1.885 -4.974 3.008
-2.013 0.486 5.750
-5.937 -0.758 1.233
ATOMIC_POSITIONS angstrom
K 0.000 0.000 0.000
Mn -4.918 -2.623 4.996
Ba -2.459 -1.312 2.498
Ba -7.377 -3.935 7.493
```

The value obtained for the calculated volume is 40.35 Å³/atom. For the density of states at the Fermi level, the calculation gives 40.90 states/eV per cell. The space group is Fm-3m (225). For the formation energy, the calculation gives 1.07 eV/atom.